A plane-wave DFT calculation with GGA-PBE was carried out for a geometry-optimized Li2OsPb structure.

## Properties
DFT formation energy	0.306	eV per atom
crystal system	orthorhombic

a = 5.3801 Å, b = 5.3801 Å, c = 5.3801 Å
α = 144.49°, β = 131.04°, γ = 61.93°
Last column: nearest neighbours and their distance in Å.
Sites, in units of the cell vectors:
Pb: 0.2500 0.7500 0.5000  4 Os 2.77, 4 Li 2.95
Os: 0.7500 0.2500 0.5000  4 Li 2.71, 4 Pb 2.77
Li: 0.9843 0.9843 0.0000  2 Os 2.71, 4 Li 2.78, 2 Pb 2.95
Li: 0.5157 0.5157 0.0000  2 Os 2.71, 4 Li 2.78, 2 Pb 2.95

---

A plane-wave DFT calculation with GGA-PBE was carried out for a geometry-optimized Ti3In2H2 structure.

## Properties
crystal system	monoclinic
excess energy over the best structure of this formula in the dataset	132	meV/atom

a = 2.9346 Å, b = 5.3610 Å, c = 7.1712 Å
α = 111.36°, β = 90.00°, γ = 105.88°
Last column: nearest neighbours and their distance in Å.
Sites, in units of the cell vectors:
In: 0.8322 0.6644 0.2147  3 H 2.71-2.86, 2 In 2.93, 3 Ti 2.98-3.00
In: 0.1678 0.3356 0.7853  3 H 2.71-2.86, 2 In 2.93, 3 Ti 2.98-3.00
Ti: 0.5000 0.0000 0.0000  4 H 1.99
Ti: 0.3826 0.7653 0.6005  2 H 2.02
Ti: 0.6174 0.2347 0.3995  2 H 2.02
H: 0.9111 0.8223 0.8068  4 Ti 1.99-2.02
H: 0.0889 0.1777 0.1932  4 Ti 1.99-2.02

---

A plane-wave DFT calculation with GGA-PBE was carried out for a geometry-optimized Pm2SiSe5 structure.

## Properties
crystal system	tetragonal
ΔE_f (raw)	-1.020	eV per atom

a = 7.1354 Å, b = 7.1354 Å, c = 6.5936 Å
α = 122.76°, β = 122.76°, γ = 90.00°
Last column: nearest neighbours and their distance in Å.
Sites, in units of the cell vectors:
Se: 0.8043 0.8043 0.0693  1 Si 2.38
Se: 0.2650 0.2650 0.0693  1 Si 2.38
Se: 0.8043 0.2650 0.0693  1 Si 2.38
Se: 0.2650 0.8043 0.0693  1 Si 2.38
Se: 0.7093 0.7093 0.4185  1 Si 2.23
Pm: 0.2284 0.7284 0.4567  4 Se 3.02
Pm: 0.7284 0.2284 0.4567  4 Se 3.02
Si: 0.9724 0.9724 0.9449  5 Se 2.23-2.38

---

A plane-wave DFT calculation with GGA-PBE was carried out for a geometry-optimized AlVCrMo structure.

## Properties
DFT formation energy	-0.073	eV per atom
crystal system	cubic

a = 4.2993 Å, b = 4.2993 Å, c = 4.2993 Å
α = 60.00°, β = 60.00°, γ = 60.00°
Last column: nearest neighbours and their distance in Å.
Sites, in units of the cell vectors:
V: 0.7500 0.7500 0.7500  4 Mo 2.63, 4 Al 2.63
Mo: 0.0000 0.0000 0.0000  4 Cr 2.63, 4 V 2.63
Al: 0.5000 0.5000 0.5000  4 Cr 2.63, 4 V 2.63
Cr: 0.2500 0.2500 0.2500  4 Mo 2.63, 4 Al 2.63

---

Respective final energy values: -4.39 -5.24 -5.06 -8.40 eV per atom.